An optimized crystal structure of Cr2Ni, computed with PBE.

Values from the calculation:
Its formation energy is 0.123 eV/atom. The total magnetization is 0.0 μB/f.u. As for the calculated volume: 136.09 Å³ per cell.

Cell lengths 9.4479, 2.4047, 6.1721 Å; angles 90.00, 103.95, 90.00 degrees
Space group Cm (No. 8)
One atom of each set of equivalent atoms:
Cr 0.0000 0.0000 0.0000
Cr 0.0651 0.0000 0.6297
Cr 0.1738 0.5000 0.3286
Cr 0.3302 0.0000 0.6656
Ni 0.2308 0.5000 0.9575
Ni 0.3990 0.0000 0.2890

***

An optimized crystal structure of Cr2Ni3, computed with PBE.

Values from the calculation:
Its formation energy is 0.157 eV/atom. The total magnetization is 0.1 μB/f.u. As for the calculated volume: 448.84 Å³ per cell. The value obtained for the energy above the most stable polymorph in this dataset is 74.0 meV/atom.

Cell lengths 8.4069, 12.2571, 4.3558 Å; angles 90.00, 90.00, 90.00 degrees
Space group Fdd2 (No. 43)
One atom of each set of equivalent atoms:
Cr 0.0202 0.2033 0.0000
Ni 0.0000 0.0000 0.0374
Ni 0.0316 0.1007 0.5218

***

An optimized crystal structure of Cr3Ni, computed with PBE.

Values from the calculation:
Its formation energy is 0.168 eV/atom. The total magnetization is 0.0 μB/f.u. As for the calculated volume: 91.77 Å³ per cell.

Cell lengths 8.4233, 2.3852, 4.5917 Å; angles 90.00, 95.88, 90.00 degrees
Space group C2/m (No. 12)
One atom of each set of equivalent atoms:
Cr 0.0000 0.0000 0.0000
Cr 0.2417 0.0000 0.7448
Ni 0.0000 0.5000 0.5000

***

An optimized crystal structure of Cr2Ni, computed with PBE.

Values from the calculation:
Its formation energy is 0.209 eV/atom. The total magnetization is 0.0 μB/f.u. As for the calculated volume: 141.05 Å³ per cell.

Cell lengths 5.5636, 5.5636, 4.5567 Å; angles 90.00, 90.00, 90.00 degrees
Space group I4/mcm (No. 140)
One atom of each set of equivalent atoms:
Cr 0.1368 0.3632 0.0000
Ni 0.0000 0.0000 0.2500

***

Theoretical density for the records above, in order: 7.94; 8.29; 7.77; 7.66 g/cm³